[1]
Material: BeAl2Br
Method: DFT, SCAN
State: PBEsol geometry Values from VASP.

**DFT total energy**: -9.63 eV/atom
**Energy above the lowest structure with this stoichiometry**: 0 meV per atom
**SG**: R-3m

Cell and atoms, written as Quantum ESPRESSO input:
```
&SYSTEM
  ibrav = 0, nat = 4, ntyp = 3
/
ATOMIC_SPECIES
Be 9.01 Be.upf
Al 26.98 Al.upf
Br 79.90 Br.upf
CELL_PARAMETERS angstrom
-2.260 -2.472 -1.126
1.080 -3.344 -0.371
-2.133 -3.193 5.745
ATOMIC_POSITIONS angstrom
Be -1.656 -4.505 2.124
Al -0.957 -2.345 1.525
Al -2.356 -6.664 2.723
Br 0.000 0.000 0.000
```


[2]
Material: BeAlBr
Method: DFT, SCAN
State: PBEsol geometry Values from VASP.

**DFT total energy**: -10.32 eV/atom
**Energy above the lowest structure with this stoichiometry**: 0 meV per atom
**SG**: P3m1

Cell and atoms, written as Quantum ESPRESSO input:
```
&SYSTEM
  ibrav = 0, nat = 3, ntyp = 3
/
ATOMIC_SPECIES
Be 9.01 Be.upf
Al 26.98 Al.upf
Br 79.90 Br.upf
CELL_PARAMETERS angstrom
3.167 0.000 0.000
-1.583 2.742 0.000
0.000 0.000 7.349
ATOMIC_POSITIONS angstrom
Be 1.583 0.914 4.689
Al 0.000 0.000 6.658
Br 0.000 1.828 3.351
```